A geometry-optimized HfInW2Au structure, computed with GGA-PBE.

Cell: 4.9493 4.9493 4.8417 Å, 90.00 90.00 90.00°
Closest atoms and distances in Å follow each position.
Positions (direct):
Hf 0.0000 0.0000 0.0000  8 W 3.46, 4 In 3.50
In 0.5000 0.5000 0.0000  2 Au 2.42
W 0.0000 0.5000 0.5000  2 Au 2.47
W 0.5000 0.0000 0.5000  2 Au 2.47
Au 0.5000 0.5000 0.5000  2 In 2.42, 4 W 2.47

For the energy above the most stable polymorph in this dataset, the calculation gives 0.00 kcal/mol of atoms. The value obtained for the total magnetic moment is 0.000 μB per atom. The density of states at the Fermi level comes out at 7.33 states/eV/cell. The calculation puts the electronic total energy at -6.5042 eV per atom. As for the space-group type: P4/mmm (123).

A geometry-optimized Rb2TaTe5 structure, computed with GGA-PBE.

Cell: 8.3359 8.3359 8.3359 Å, 133.32 122.00 77.52°
Closest atoms and distances in Å follow each position.
Positions (direct):
Rb 0.0000 0.0000 0.0000  10 Te 4.05-4.22
Rb 0.4612 0.4612 0.0000  2 Te 3.31
Ta 0.6768 0.1768 0.5000  5 Te 2.58-2.75
Te 0.4784 0.9784 0.5000  1 Ta 2.58
Te 0.4961 0.4998 0.5133  1 Ta 2.75
Te 0.4961 0.9828 0.9963  1 Ta 2.75
Te 0.9864 0.4998 0.0037  1 Ta 2.75
Te 0.9864 0.9828 0.4867  1 Ta 2.75

The value obtained for the formation energy (no corrections) is -0.484 eV/atom. The value obtained for the total magnetic moment is 0.000 μB per atom. The density of states at the Fermi level comes out at 3.60 states/eV/cell. The calculation puts the electronic total energy at -4.1712 eV per atom. As for the space-group type: Imm2 (44).

A geometry-optimized KSr2Mn structure, computed with GGA-PBE.

Cell: 7.5209 7.5209 6.7375 Å, 116.22 116.22 33.19°
Closest atoms and distances in Å follow each position.
Positions (direct):
K 0.0000 0.0000 0.0000  4 Mn 4.00, 8 Sr 4.20-4.41, 2 K 4.30
Sr 0.1986 0.1986 0.6987  2 Mn 3.33
Sr 0.8014 0.8014 0.3013  2 Mn 3.33
Mn 0.5000 0.5000 0.5000  4 Sr 3.33

For the energy above the most stable polymorph in this dataset, the calculation gives 3.82 kcal/mol of atoms. The value obtained for the total magnetic moment is 0.997 μB per atom. The density of states at the Fermi level comes out at 4.46 states/eV/cell. The calculation puts the electronic total energy at -2.8855 eV per atom. As for the space-group type: C2/m (12).